RbBeB2Br: optimized geometry, PBE.

CIF file:
```
data_RbBeB2Br
_symmetry_space_group_name_H-M 'P 4/m m m'
_symmetry_Int_Tables_number 123
_symmetry_space_group_name_Hall '-P 4 2'
_cell_length_a 4.0884
_cell_length_b 4.0884
_cell_length_c 8.8054
_cell_angle_alpha 90.00
_cell_angle_beta 90.00
_cell_angle_gamma 90.00
loop_
_atom_site_label
_atom_site_fract_x
_atom_site_fract_y
_atom_site_fract_z
_atom_site_occupancy
Rb1 0.0000 0.0000 0.0000 1
Be1 0.0000 0.0000 0.5000 1
B1 0.0000 0.5000 0.5000 1
Br1 0.5000 0.5000 0.0000 1
```

DFT total energy = -2.926 eV/atom

***

TcSb: optimized geometry, PBE.

CIF file:
```
data_TcSb
_symmetry_space_group_name_H-M 'I 41/a m d'
_symmetry_Int_Tables_number 141
_cell_length_a 4.1676
_cell_length_b 4.1676
_cell_length_c 8.4576
_cell_angle_alpha 90.00
_cell_angle_beta 90.00
_cell_angle_gamma 90.00
loop_
_symmetry_equiv_pos_as_xyz
'x,y,z'
'-x,-y,-z'
'-y+1/4,x+3/4,z+1/4'
'y+1/4,-x+3/4,-z+1/4'
'-x+1/2,-y,z+1/2'
'x+1/2,y,-z+1/2'
'y+1/4,-x+1/4,z+3/4'
'-y+1/4,x+1/4,-z+3/4'
'x,-y,-z'
'-x,y,z'
'-y+1/4,-x+1/4,-z+3/4'
'y+1/4,x+1/4,z+3/4'
'-x+1/2,y,-z+1/2'
'x+1/2,-y,z+1/2'
'y+1/4,x+3/4,-z+1/4'
'-y+1/4,-x+3/4,z+1/4'
'x+1/2,y+1/2,z+1/2'
'-x+1/2,-y+1/2,-z+1/2'
'-y+3/4,x+1/4,z+3/4'
'y+3/4,-x+1/4,-z+3/4'
'-x,-y+1/2,z'
'x,y+1/2,-z'
'y+3/4,-x+3/4,z+1/4'
'-y+3/4,x+3/4,-z+1/4'
'x+1/2,-y+1/2,-z+1/2'
'-x+1/2,y+1/2,z+1/2'
'-y+3/4,-x+3/4,-z+1/4'
'y+3/4,x+3/4,z+1/4'
'-x,y+1/2,-z'
'x,-y+1/2,z'
'y+3/4,x+1/4,-z+3/4'
'-y+3/4,-x+1/4,z+3/4'
loop_
_atom_site_label
_atom_site_fract_x
_atom_site_fract_y
_atom_site_fract_z
_atom_site_occupancy
Tc1 0.0000 0.2500 0.3750 1
Sb1 0.0000 0.2500 0.8750 1
```

ΔE to the lowest computed polymorph = 0.98 eV/f.u.
DFT total energy = -6.692 eV/atom

***

LaTa2AlSe: optimized geometry, PBE.

CIF file:
```
data_LaTa2AlSe
_symmetry_space_group_name_H-M 'P 4/m m m'
_symmetry_Int_Tables_number 123
_symmetry_space_group_name_Hall '-P 4 2'
_cell_length_a 4.8895
_cell_length_b 4.8895
_cell_length_c 5.1439
_cell_angle_alpha 90.00
_cell_angle_beta 90.00
_cell_angle_gamma 90.00
loop_
_atom_site_label
_atom_site_fract_x
_atom_site_fract_y
_atom_site_fract_z
_atom_site_occupancy
La1 0.0000 0.0000 0.0000 1
Ta1 0.0000 0.5000 0.5000 1
Al1 0.5000 0.5000 0.5000 1
Se1 0.5000 0.5000 0.0000 1
```

DFT total energy = -6.350 eV/atom

***

Calculated raw formation energy (eV/atom), listed in the same order as above: 1.019, 0.552, 0.822